# 1
Here is a relaxed Cs3YO crystal from the Alexandria database. Energies are from PBE.

a b c (Å): 6.1946 6.1946 6.1946
angles (deg): 90.00 90.00 90.00
With the nearest neighbours (Å) after each atom.
Fractional positions:
Cs  0.0000  0.5000  0.0000  2 O 3.10
Cs  0.0000  0.0000  0.5000  2 O 3.10
Cs  0.5000  0.0000  0.0000  2 O 3.10
Y  0.5000  0.5000  0.5000  12 Cs 4.38
O  0.0000  0.0000  0.0000  6 Cs 3.10

Output
Calculated volume ... 237.7 Å³/f.u.
Raw formation energy ... 0.083 eV per atom
Symmetry ... Pm-3m

# 2
Here is a relaxed Cs5YO4 crystal from the Alexandria database. Energies are from PBE.

a b c (Å): 7.0206 8.5576 9.9869
angles (deg): 90.00 90.00 90.00
With the nearest neighbours (Å) after each atom.
Fractional positions:
Cs  0.2563  0.7614  0.8133  4 O 2.96-3.28
Cs  0.2563  0.2386  0.8133  4 O 2.96-3.28
Cs  0.8261  0.5000  0.0000  2 O 2.83
Cs  0.2563  0.7614  0.1867  4 O 2.96-3.28
Cs  0.2563  0.2386  0.1867  4 O 2.96-3.28
Cs  0.7437  0.7386  0.3133  4 O 2.96-3.28
Cs  0.7437  0.2614  0.3133  4 O 2.96-3.28
Cs  0.1739  0.0000  0.5000  2 O 2.83
Cs  0.7437  0.7386  0.6867  4 O 2.96-3.28
Cs  0.7437  0.2614  0.6867  4 O 2.96-3.28
Y  0.7822  0.0000  0.0000  4 O 2.19-2.20
Y  0.2178  0.5000  0.5000  4 O 2.19-2.20
O  0.9518  0.0000  0.8149  1 Y 2.20
O  0.6171  0.7833  0.0000  1 Y 2.19
O  0.6171  0.2167  0.0000  1 Y 2.19
O  0.9518  0.0000  0.1851  1 Y 2.20
O  0.0482  0.5000  0.3149  1 Y 2.20
O  0.3829  0.7167  0.5000  1 Y 2.19
O  0.3829  0.2833  0.5000  1 Y 2.19
O  0.0482  0.5000  0.6851  1 Y 2.20

Output
Excess energy over the best structure of this formula in the dataset ... 0.017 eV per atom
Calculated volume ... 300.0 Å³/f.u.
Raw formation energy ... -1.621 eV per atom
Symmetry ... Pmmn

# 3
Here is a relaxed Cs2YO2 crystal from the Alexandria database. Energies are from PBE.

a b c (Å): 6.5504 4.9401 12.0457
angles (deg): 101.84 105.78 90.00
With the nearest neighbours (Å) after each atom.
Fractional positions:
Cs  0.1426  0.9395  0.2852  2 O 3.05-3.32
Cs  0.8574  0.0605  0.7148  2 O 3.05-3.32
Cs  0.3574  0.6544  0.7148  2 O 3.05-3.32
Cs  0.6426  0.3456  0.2852  2 O 3.05-3.32
Y  0.2500  0.5000  0.0000  4 O 2.20
Y  0.7500  0.5000  0.0000  4 O 2.20
O  0.5539  0.7209  0.1078  2 Y 2.20
O  0.4461  0.2791  0.8922  2 Y 2.20
O  0.9461  0.6131  0.8922  2 Y 2.20
O  0.0539  0.3869  0.1078  2 Y 2.20

Output
Calculated volume ... 183.2 Å³/f.u.
Raw formation energy ... -1.819 eV per atom
Symmetry ... Ibam

# 4
Here is a relaxed CsYO3 crystal from the Alexandria database. Energies are from PBE.

a b c (Å): 4.5203 4.5203 4.5203
angles (deg): 90.00 90.00 90.00
With the nearest neighbours (Å) after each atom.
Fractional positions:
Cs  0.5000  0.5000  0.5000  12 O 3.20
Y  0.0000  0.0000  0.0000  6 O 2.26
O  0.0000  0.5000  0.0000  2 Y 2.26
O  0.0000  0.0000  0.5000  2 Y 2.26
O  0.5000  0.0000  0.0000  2 Y 2.26

Output
Calculated volume ... 92.4 Å³/f.u.
Raw formation energy ... -1.827 eV per atom
Symmetry ... Pm-3m

Copy entry 1 word for word.
Here is a relaxed Cs3YO crystal from the Alexandria database. Energies are from PBE.

a b c (Å): 6.1946 6.1946 6.1946
angles (deg): 90.00 90.00 90.00
With the nearest neighbours (Å) after each atom.
Fractional positions:
Cs  0.0000  0.5000  0.0000  2 O 3.10
Cs  0.0000  0.0000  0.5000  2 O 3.10
Cs  0.5000  0.0000  0.0000  2 O 3.10
Y  0.5000  0.5000  0.5000  12 Cs 4.38
O  0.0000  0.0000  0.0000  6 Cs 3.10

Output
Calculated volume ... 237.7 Å³/f.u.
Raw formation energy ... 0.083 eV per atom
Symmetry ... Pm-3m

Repeat the second record exactly.
Here is a relaxed Cs5YO4 crystal from the Alexandria database. Energies are from PBE.

a b c (Å): 7.0206 8.5576 9.9869
angles (deg): 90.00 90.00 90.00
With the nearest neighbours (Å) after each atom.
Fractional positions:
Cs  0.2563  0.7614  0.8133  4 O 2.96-3.28
Cs  0.2563  0.2386  0.8133  4 O 2.96-3.28
Cs  0.8261  0.5000  0.0000  2 O 2.83
Cs  0.2563  0.7614  0.1867  4 O 2.96-3.28
Cs  0.2563  0.2386  0.1867  4 O 2.96-3.28
Cs  0.7437  0.7386  0.3133  4 O 2.96-3.28
Cs  0.7437  0.2614  0.3133  4 O 2.96-3.28
Cs  0.1739  0.0000  0.5000  2 O 2.83
Cs  0.7437  0.7386  0.6867  4 O 2.96-3.28
Cs  0.7437  0.2614  0.6867  4 O 2.96-3.28
Y  0.7822  0.0000  0.0000  4 O 2.19-2.20
Y  0.2178  0.5000  0.5000  4 O 2.19-2.20
O  0.9518  0.0000  0.8149  1 Y 2.20
O  0.6171  0.7833  0.0000  1 Y 2.19
O  0.6171  0.2167  0.0000  1 Y 2.19
O  0.9518  0.0000  0.1851  1 Y 2.20
O  0.0482  0.5000  0.3149  1 Y 2.20
O  0.3829  0.7167  0.5000  1 Y 2.19
O  0.3829  0.2833  0.5000  1 Y 2.19
O  0.0482  0.5000  0.6851  1 Y 2.20

Output
Excess energy over the best structure of this formula in the dataset ... 0.017 eV per atom
Calculated volume ... 300.0 Å³/f.u.
Raw formation energy ... -1.621 eV per atom
Symmetry ... Pmmn

- Which value of raw formation energy does entry 4 give?
  -1.827 eV per atom

- Among the records above, which one has the highest calculated volume?
  Cs5YO4